No. 1
TlPdI3: relaxed, GGA-PBE.

Values from the calculation:
* DFT total energy: -13.8 eV/cell
* E_form (uncorrected): -0.32 eV per atom
* total magnetic moment: 0.00 μB per atom
* space-group type: Pm-3m, No. 221
* relative energy among the computed polymorphs: 0.102 eV/f.u.

Cell lengths 5.586, 5.586, 5.586 Å; angles 90.00, 90.00, 90.00 degrees
Element x y z (fractional)
I 0.000 0.500 0.000
I 0.000 0.000 0.500
I 0.500 0.000 0.000
Tl 0.500 0.500 0.500
Pd 0.000 0.000 0.000


No. 2
Tl2PdI: relaxed, GGA-PBE.

Values from the calculation:
* DFT total energy: -11.9 eV/cell
* E_form (uncorrected): -0.10 eV per atom
* total magnetic moment: 0.00 μB per atom
* space-group type: R-3m, No. 166
* relative energy among the computed polymorphs: 0.000 eV/f.u.

Cell lengths 4.241, 4.241, 9.139 Å; angles 76.58, 76.58, 60.00 degrees
Element x y z (fractional)
I 0.000 0.000 0.000
Tl 0.113 0.113 0.661
Tl 0.887 0.887 0.339
Pd 0.500 0.500 0.500


No. 3
Tl2PdI: relaxed, GGA-PBE.

Values from the calculation:
* DFT total energy: -11.0 eV/cell
* E_form (uncorrected): 0.11 eV per atom
* total magnetic moment: 0.00 μB per atom
* space-group type: Fm-3m, No. 225
* relative energy among the computed polymorphs: 0.867 eV/f.u.

Cell lengths 5.534, 5.534, 5.534 Å; angles 60.00, 60.00, 60.00 degrees
Element x y z (fractional)
I 0.500 0.500 0.500
Tl 0.250 0.250 0.250
Tl 0.750 0.750 0.750
Pd 0.000 0.000 0.000


No. 4
TlPdI2: relaxed, GGA-PBE.

Values from the calculation:
* DFT total energy: -11.4 eV/cell
* E_form (uncorrected): -0.19 eV per atom
* total magnetic moment: 0.16 μB per atom
* space-group type: R-3m, No. 166
* relative energy among the computed polymorphs: 0.024 eV/f.u.

Cell lengths 4.379, 4.379, 8.100 Å; angles 74.32, 74.32, 60.00 degrees
Last column: magnetic moment on the atom in μB.
Element x y z (fractional)
I 0.269 0.269 0.193  0.09
I 0.731 0.731 0.807  0.09
Tl 0.500 0.500 0.500  0.01
Pd 0.000 0.000 0.000  0.36


No. 5
TlPdI3: relaxed, GGA-PBE.

Values from the calculation:
* DFT total energy: -55.7 eV/cell
* E_form (uncorrected): -0.34 eV per atom
* total magnetic moment: 0.00 μB per atom
* space-group type: C2/c, No. 15
* relative energy among the computed polymorphs: 0.000 eV/f.u.

Cell lengths 8.029, 8.383, 14.363 Å; angles 114.62, 90.00, 118.61 degrees
Element x y z (fractional)
Tl 0.306 0.796 0.853
Tl 0.510 0.204 0.647
Tl 0.694 0.204 0.147
Tl 0.490 0.796 0.353
Pd 0.000 0.500 0.500
Pd 0.500 0.500 0.000
Pd 0.161 0.000 0.250
Pd 0.839 0.000 0.750
I 0.219 0.305 0.824
I 0.914 0.695 0.676
I 0.781 0.695 0.176
I 0.086 0.305 0.324
I 0.478 0.748 0.626
I 0.730 0.252 0.874
I 0.522 0.252 0.374
I 0.270 0.748 0.126
I 0.705 0.781 0.938
I 0.924 0.219 0.562
I 0.076 0.781 0.438
I 0.295 0.219 0.062


No. 6
Tl3PdI6: relaxed, GGA-PBE.

Values from the calculation:
* DFT total energy: -51.4 eV/cell
* E_form (uncorrected): -0.41 eV per atom
* total magnetic moment: 0.00 μB per atom
* space-group type: P2_1/c, No. 14

Cell lengths 8.245, 8.568, 11.441 Å; angles 90.00, 84.29, 90.00 degrees
Element x y z (fractional)
Tl 0.535 0.935 0.771
Tl 0.500 0.500 0.000
Tl 0.465 0.065 0.229
Tl 0.035 0.565 0.271
Tl 0.000 0.000 0.500
Tl 0.965 0.435 0.729
Pd 0.500 0.500 0.500
Pd 0.000 0.000 0.000
I 0.724 0.196 0.969
I 0.675 0.240 0.569
I 0.619 0.443 0.276
I 0.381 0.557 0.724
I 0.325 0.760 0.431
I 0.276 0.804 0.031
I 0.224 0.304 0.469
I 0.175 0.260 0.069
I 0.119 0.057 0.776
I 0.881 0.943 0.224
I 0.825 0.740 0.931
I 0.776 0.696 0.531


No. 7
Tl6Pd3I14: relaxed, GGA-PBE.

Values from the calculation:
* DFT total energy: -58.7 eV/cell
* E_form (uncorrected): -0.31 eV per atom
* total magnetic moment: 0.18 μB per atom
* space-group type: P3, No. 143

Cell lengths 7.951, 11.926, 11.926 Å; angles 120.00, 90.00, 90.00 degrees
Last column: magnetic moment on the atom in μB.
Element x y z (fractional)
Tl 0.263 0.779 0.053  0.01
Tl 0.263 0.947 0.726  0.01
Tl 0.263 0.274 0.221  0.01
Tl 0.800 0.514 0.550  0.01
Tl 0.800 0.450 0.965  0.01
Tl 0.800 0.035 0.486  0.01
Pd 0.815 0.000 0.000  0.83
Pd 0.358 0.333 0.667  0.88
Pd 0.425 0.667 0.333  -0.04
I 0.974 0.038 0.216  0.18
I 0.974 0.784 0.823  0.18
I 0.974 0.177 0.962  0.18
I 0.528 0.234 0.442  0.21
I 0.528 0.558 0.792  0.21
I 0.528 0.208 0.766  0.21
I 0.474 0.000 0.000  0.09
I 0.019 0.333 0.667  0.10
I 0.628 0.754 0.207  0.00
I 0.628 0.793 0.547  0.00
I 0.628 0.453 0.246  0.00
I 0.225 0.600 0.479  0.01
I 0.225 0.521 0.122  0.01
I 0.225 0.878 0.400  0.01


No. 8
Tl2PdI4: relaxed, GGA-PBE.

Values from the calculation:
* DFT total energy: -19.1 eV/cell
* E_form (uncorrected): -0.43 eV per atom
* total magnetic moment: 0.00 μB per atom
* space-group type: I4/mmm, No. 139

Cell lengths 5.636, 5.636, 9.370 Å; angles 72.50, 72.50, 90.00 degrees
Element x y z (fractional)
I 0.162 0.162 0.676
I 0.838 0.838 0.324
I 0.000 0.500 0.000
I 0.500 0.000 0.000
Tl 0.367 0.367 0.267
Tl 0.633 0.633 0.733
Pd 0.000 0.000 0.000


No. 9
Tl2PdI: relaxed, GGA-PBE.

Values from the calculation:
* DFT total energy: -23.8 eV/cell
* E_form (uncorrected): -0.10 eV per atom
* total magnetic moment: 0.00 μB per atom
* space-group type: I-42d, No. 122
* relative energy among the computed polymorphs: 0.002 eV/f.u.

Cell lengths 6.635, 6.635, 8.798 Å; angles 67.85, 67.85, 90.00 degrees
Element x y z (fractional)
I 0.000 0.000 0.000
I 0.750 0.250 0.500
Tl 0.529 0.125 0.250
Tl 0.221 0.625 0.250
Tl 0.375 0.471 0.750
Tl 0.875 0.779 0.750
Pd 0.500 0.500 0.000
Pd 0.250 0.750 0.500


No. 10
Tl4PdI5: relaxed, GGA-PBE.

Values from the calculation:
* DFT total energy: -27.0 eV/cell
* E_form (uncorrected): -0.46 eV per atom
* total magnetic moment: 0.10 μB per atom
* space-group type: I4, No. 79

Cell lengths 7.024, 8.293, 8.293 Å; angles 79.67, 64.95, 64.95 degrees
Last column: magnetic moment on the atom in μB.
Element x y z (fractional)
Tl 0.420 0.385 0.777  0.01
Tl 0.806 0.777 0.615  0.01
Tl 0.197 0.223 0.385  0.01
Tl 0.582 0.615 0.223  0.01
Pd 0.001 0.000 0.000  0.57
I 0.905 0.344 0.848  0.06
I 0.249 0.848 0.656  0.06
I 0.753 0.152 0.344  0.06
I 0.097 0.656 0.152  0.06
I 0.500 0.000 0.000  0.02


No. 11
Tl3PdI: relaxed, GGA-PBE.

Values from the calculation:
* DFT total energy: -15.4 eV/cell
* E_form (uncorrected): -0.32 eV per atom
* total magnetic moment: 0.00 μB per atom
* space-group type: Pm-3m, No. 221
* relative energy among the computed polymorphs: 0.000 eV/f.u.

Cell lengths 5.454, 5.454, 5.454 Å; angles 90.00, 90.00, 90.00 degrees
Element x y z (fractional)
I 0.500 0.500 0.500
Tl 0.000 0.500 0.000
Tl 0.000 0.000 0.500
Tl 0.500 0.000 0.000
Pd 0.000 0.000 0.000


No. 12
Tl4PdI2: relaxed, GGA-PBE.

Values from the calculation:
* DFT total energy: -20.3 eV/cell
* E_form (uncorrected): -0.36 eV per atom
* total magnetic moment: 0.00 μB per atom
* space-group type: I4/mmm, No. 139

Cell lengths 5.398, 5.398, 9.793 Å; angles 106.00, 106.00, 90.00 degrees
Element x y z (fractional)
I 0.648 0.648 0.296
I 0.352 0.352 0.704
Tl 0.843 0.843 0.686
Tl 0.157 0.157 0.314
Tl 0.000 0.500 0.000
Tl 0.500 0.000 0.000
Pd 0.000 0.000 0.000


No. 13
TlPdI2: relaxed, GGA-PBE.

Values from the calculation:
* DFT total energy: -22.9 eV/cell
* E_form (uncorrected): -0.19 eV per atom
* total magnetic moment: 0.00 μB per atom
* space-group type: I-42d, No. 122
* relative energy among the computed polymorphs: 0.000 eV/f.u.

Cell lengths 7.137, 7.137, 8.374 Å; angles 64.78, 64.78, 90.00 degrees
Element x y z (fractional)
I 0.540 0.125 0.250
I 0.210 0.625 0.250
I 0.375 0.460 0.750
I 0.875 0.790 0.750
Tl 0.000 0.000 0.000
Tl 0.750 0.250 0.500
Pd 0.500 0.500 0.000
Pd 0.250 0.750 0.500


No. 14
Tl2PdI5: relaxed, GGA-PBE.

Values from the calculation:
* DFT total energy: -20.6 eV/cell
* E_form (uncorrected): -0.37 eV per atom
* total magnetic moment: 0.00 μB per atom
* space-group type: P-1, No. 2

Cell lengths 5.938, 7.244, 8.987 Å; angles 101.49, 104.26, 114.83 degrees
Element x y z (fractional)
Tl 0.636 0.881 0.366
Tl 0.488 0.175 0.690
Pd 0.063 0.028 0.028
I 0.967 0.722 0.168
I 0.316 0.333 0.332
I 0.809 0.723 0.724
I 0.158 0.334 0.888
I 0.563 0.028 0.028


No. 15
TlPdI2: relaxed, GGA-PBE.

Values from the calculation:
* DFT total energy: -10.2 eV/cell
* E_form (uncorrected): 0.12 eV per atom
* total magnetic moment: 0.25 μB per atom
* space-group type: Fm-3m, No. 225
* relative energy among the computed polymorphs: 1.241 eV/f.u.

Cell lengths 5.566, 5.566, 5.566 Å; angles 60.00, 60.00, 60.00 degrees
Last column: magnetic moment on the atom in μB.
Element x y z (fractional)
I 0.250 0.250 0.250  0.14
I 0.750 0.750 0.750  0.14
Tl 0.500 0.500 0.500  0.03
Pd 0.000 0.000 0.000  0.57


No. 16
Tl2Pd2I7: relaxed, GGA-PBE.

Values from the calculation:
* DFT total energy: -28.8 eV/cell
* E_form (uncorrected): -0.26 eV per atom
* total magnetic moment: 0.00 μB per atom
* space-group type: C2/m, No. 12

Cell lengths 5.084, 10.086, 10.086 Å; angles 117.89, 97.69, 97.69 degrees
Element x y z (fractional)
Tl 0.500 0.298 0.702
Tl 0.500 0.702 0.298
Pd 0.190 0.768 0.768
Pd 0.810 0.232 0.232
I 0.178 0.600 0.911
I 0.822 0.089 0.400
I 0.822 0.400 0.089
I 0.178 0.911 0.600
I 0.375 0.337 0.337
I 0.000 0.000 0.000
I 0.625 0.663 0.663


No. 17
TlPdI6: relaxed, GGA-PBE.

Values from the calculation:
* DFT total energy: -18.3 eV/cell
* E_form (uncorrected): -0.18 eV per atom
* total magnetic moment: 0.00 μB per atom
* space-group type: P-1, No. 2

Cell lengths 8.236, 7.911, 8.949 Å; angles 56.09, 57.07, 45.67 degrees
Element x y z (fractional)
Tl 0.500 0.500 0.500
Pd 0.000 0.000 0.000
I 0.006 0.403 0.786
I 0.987 0.989 0.703
I 0.518 0.180 0.162
I 0.013 0.011 0.297
I 0.994 0.597 0.214
I 0.482 0.820 0.838


No. 18
Tl2Pd2I: relaxed, GGA-PBE.

Values from the calculation:
* DFT total energy: -17.0 eV/cell
* E_form (uncorrected): -0.06 eV per atom
* total magnetic moment: 0.00 μB per atom
* space-group type: I4/mmm, No. 139
* relative energy among the computed polymorphs: 0.160 eV/f.u.

Cell lengths 3.925, 3.925, 9.034 Å; angles 77.45, 77.45, 90.00 degrees
Element x y z (fractional)
I 0.000 0.000 0.000
Tl 0.374 0.374 0.252
Tl 0.626 0.626 0.748
Pd 0.750 0.250 0.500
Pd 0.250 0.750 0.500


No. 19
TlPdI3: relaxed, GGA-PBE.

Values from the calculation:
* DFT total energy: -27.1 eV/cell
* E_form (uncorrected): -0.27 eV per atom
* total magnetic moment: 0.00 μB per atom
* space-group type: P6_3/mmc, No. 194
* relative energy among the computed polymorphs: 0.373 eV/f.u.

Cell lengths 6.557, 7.779, 7.779 Å; angles 120.00, 90.00, 90.00 degrees
Element x y z (fractional)
Tl 0.750 0.333 0.667
Tl 0.250 0.667 0.333
Pd 0.500 0.000 0.000
Pd 0.000 0.000 0.000
I 0.750 0.829 0.658
I 0.250 0.171 0.829
I 0.750 0.342 0.171
I 0.250 0.658 0.829
I 0.250 0.171 0.342
I 0.750 0.829 0.171


No. 20
TlPdI5: relaxed, GGA-PBE.

Values from the calculation:
* DFT total energy: -33.9 eV/cell
* E_form (uncorrected): -0.23 eV per atom
* total magnetic moment: 0.00 μB per atom
* space-group type: C2/c, No. 15

Cell lengths 8.820, 8.820, 10.022 Å; angles 63.27, 63.27, 99.28 degrees
Element x y z (fractional)
Tl 0.647 0.353 0.250
Tl 0.353 0.647 0.750
Pd 0.000 0.000 0.000
Pd 0.000 0.000 0.500
I 0.625 0.764 0.201
I 0.310 0.937 0.350
I 0.764 0.625 0.701
I 0.916 0.084 0.250
I 0.063 0.690 0.150
I 0.937 0.310 0.850
I 0.084 0.916 0.750
I 0.236 0.375 0.299
I 0.690 0.063 0.650
I 0.375 0.236 0.799